1.
Density functional theory data (PBE) for a geometry-optimized LiCa2Tm structure.

Cell and atoms, written as POSCAR:
```
LiCa2Tm
1.0
-3.0242 0.5606 -2.0443
-0.7084 -2.1896 -2.8884
-7.1853 -7.6455 5.1971
Tm Ca Li
1 2 1
Direct
0.5003 0.5003 0.4992
0.2521 0.2521 0.2436
0.0811 0.0811 0.7568
0.6665 0.6665 0.0004
```

Results
- E_form: 12.2 kJ per mole of atoms
- Density of states at the Fermi level: 4.343 states/eV/f.u.
- Energy: -2.47 eV per atom


2.
Density functional theory data (PBE) for a geometry-optimized LiCaTm structure.

Cell and atoms, written as POSCAR:
```
LiCaTm
1.0
-0.7783 -1.4362 3.3291
3.6257 -0.3064 0.7154
-1.4272 6.8753 0.5671
Tm Li Ca
1 1 1
Direct
0.3126 0.3126 0.6253
0.6718 0.6718 0.3436
0.0155 0.0155 0.0311
```

Results
- E_form: 14.2 kJ per mole of atoms
- Density of states at the Fermi level: 3.442 states/eV/f.u.
- Energy: -2.65 eV per atom


3.
Density functional theory data (PBE) for a geometry-optimized Li2CaTm structure.

Cell and atoms, written as POSCAR:
```
Li2CaTm
1.0
3.7661 0.0000 0.0000
0.0000 3.7661 0.0000
0.0000 0.0000 7.7218
Li Tm Ca
2 1 1
Direct
0.0000 0.0000 0.7671
0.0000 0.0000 0.2329
0.5000 0.5000 0.0000
0.5000 0.5000 0.5000
```

Results
- E_form: 11.1 kJ per mole of atoms
- Density of states at the Fermi level: 2.928 states/eV/f.u.
- Energy: -2.46 eV per atom


4.
Density functional theory data (PBE) for a geometry-optimized LiCaTm structure.

Cell and atoms, written as POSCAR:
```
LiCaTm
1.0
3.6722 -0.0114 -0.4081
-0.0292 3.6721 -0.4081
-2.1846 -2.1952 13.9120
Tm Ca Li
2 2 2
Direct
0.8314 0.8314 0.5818
0.1686 0.1686 0.4182
0.4705 0.4705 0.2199
0.5295 0.5295 0.7801
0.8005 0.8005 0.0505
0.1995 0.1995 0.9495
```

Results
- E_form: 4.8 kJ per mole of atoms
- Density of states at the Fermi level: 2.716 states/eV/f.u.
- Energy: -2.75 eV per atom


5.
Density functional theory data (PBE) for a geometry-optimized LiCa2Tm structure.

Cell and atoms, written as POSCAR:
```
LiCa2Tm
1.0
4.0430 0.0000 0.0000
0.0000 4.0430 0.0000
0.0000 0.0000 8.0489
Tm Li Ca
1 1 2
Direct
0.5000 0.5000 0.5000
0.5000 0.5000 0.0000
0.0000 0.0000 0.7639
0.0000 0.0000 0.2361
```

Results
- E_form: 11.3 kJ per mole of atoms
- Density of states at the Fermi level: 2.891 states/eV/f.u.
- Energy: -2.48 eV per atom


6.
Density functional theory data (PBE) for a geometry-optimized LiCaTm structure.

Cell and atoms, written as POSCAR:
```
LiCaTm
1.0
3.5525 0.0000 0.0000
-1.7763 3.0766 0.0000
0.0000 0.0000 8.5264
Li Ca Tm
1 1 1
Direct
0.6667 0.3333 0.3237
0.3333 0.6667 0.6596
0.0000 0.0000 0.0166
```

Results
- E_form: 17.6 kJ per mole of atoms
- Density of states at the Fermi level: 3.603 states/eV/f.u.
- Energy: -2.61 eV per atom


7.
Density functional theory data (PBE) for a geometry-optimized Li4CaTm structure.

Cell and atoms, written as POSCAR:
```
Li4CaTm
1.0
-0.8309 -1.7558 -5.6586
4.6809 -1.6642 -3.3336
0.7217 -5.7506 -1.4843
Ca Tm Li
1 1 4
Direct
0.2500 0.2500 0.2500
0.0000 0.0000 0.0000
0.6254 0.6254 0.6254
0.6254 0.1238 0.6254
0.1238 0.6254 0.6254
0.6254 0.6254 0.1238
```

Results
- E_form: 9.3 kJ per mole of atoms
- Density of states at the Fermi level: 7.319 states/eV/f.u.
- Energy: -2.26 eV per atom


8.
Density functional theory data (PBE) for a geometry-optimized Li2CaTm structure.

Cell and atoms, written as POSCAR:
```
Li2CaTm
1.0
5.3644 0.0000 0.0000
2.6822 4.6457 0.0000
2.6822 1.5486 4.3800
Tm Ca Li
1 1 2
Direct
0.0000 0.0000 0.0000
0.5000 0.5000 0.5000
0.2500 0.2500 0.2500
0.7500 0.7500 0.7500
```

Results
- E_form: 14.9 kJ per mole of atoms
- Density of states at the Fermi level: 3.884 states/eV/f.u.
- Energy: -2.42 eV per atom